The following is a DFT calculation (PBE) of a relaxed structure of K2TaTe.

extended XYZ file:
```
4
Lattice="7.367 -0.011 -0.011 6.452 3.557 -0.011 2.586 0.663 5.632" Properties=species:S:1:pos:R:3 pbc="T T T"
K 13.358 3.427 0.221
K 12.513 3.210 4.092
Ta 8.845 2.269 2.501
Te 3.709 0.952 1.580
```

Results
**M_tot**: 0.741 μB/atom
**ΔE_f (raw)**: 1.98 eV/f.u.